Computed, not measured: CsAgPd2 after structural relaxation at the GGA-PBE level of DFT.

abc: 10.135 10.135 10.135
angles: 150.97 150.97 41.52
Atoms (fractional coordinates):
Cs (0.000, 0.000, 0.000)
Cs (0.750, 0.250, 0.500)
Ag (0.250, 0.750, 0.500)
Ag (0.500, 0.500, 0.000)
Pd (0.301, 0.625, 0.176)
Pd (0.375, 0.551, 0.676)
Pd (0.449, 0.125, 0.824)
Pd (0.875, 0.699, 0.324)

## Properties
ΔE_f, meV/atom: 328
Space group: I-42d
Uncorrected energy, eV per cell: -25.6